A relaxed structure of TmAgPbSe3, computed with GGA-PBE.

POSCAR file:
```
TmAgPbSe3
1.0
-4.816 -1.614 -6.805
1.602 -3.958 -0.195
-12.171 -5.412 9.898
Ag Pb Se Tm
4 4 12 4
Direct
0.129 0.250 0.141
0.629 0.250 0.359
0.371 0.750 0.641
0.871 0.750 0.859
0.425 0.750 0.222
0.925 0.750 0.278
0.075 0.250 0.722
0.575 0.250 0.778
0.386 0.250 0.053
0.972 0.750 0.087
0.686 0.250 0.202
0.186 0.250 0.298
0.472 0.750 0.413
0.886 0.250 0.447
0.114 0.750 0.553
0.528 0.250 0.587
0.814 0.750 0.702
0.314 0.750 0.798
0.028 0.250 0.913
0.614 0.750 0.947
0.756 0.250 0.032
0.256 0.250 0.468
0.744 0.750 0.532
0.244 0.750 0.968
```

Output
The value obtained for the total energy is -107.6 eV for the cell shown. For the excess energy over the best structure of this formula in the dataset, the calculation gives 62 meV per atom. The density is 7.950 g cm⁻³.